Run one
{
  "formula": "Dy4YTl",
  "functional": "PBE",
  "state": "optimized geometry",
  "cell": [[-1.128, -1.230, 3.173], [-2.757, -1.629, -1.612], [7.931, -11.717, -1.723]],
  "species": ["Dy", "Dy", "Dy", "Dy", "Y", "Tl"],
  "frac_coords": [[0.500, 0.500, 0.176], [0.000, 0.000, 0.649], [0.000, 0.000, 0.351], [0.500, 0.500, 0.824], [0.000, 0.000, 0.000], [0.500, 0.500, 0.500]],
  "space_group": "P4/mmm, No. 123",
  "rho_g_cm3": 8.5,
  "m_tot_mub_per_cell": 0.00
}

Run two
{
  "formula": "Dy4YTl",
  "functional": "PBE",
  "state": "optimized geometry",
  "cell": [[5.956, 0.471, -1.074], [2.459, 5.445, -1.074], [-1.036, -0.728, 11.736]],
  "species": ["Dy", "Dy", "Dy", "Dy", "Dy", "Dy", "Dy", "Dy", "Y", "Y", "Tl", "Tl"],
  "frac_coords": [[0.252, 0.412, 0.750], [0.159, 0.682, 0.503], [0.841, 0.318, 0.497], [0.412, 0.252, 0.250], [0.588, 0.748, 0.750], [0.318, 0.841, 0.997], [0.682, 0.159, 0.003], [0.748, 0.588, 0.250], [0.500, 0.000, 0.500], [0.000, 0.500, 0.000], [0.088, 0.912, 0.250], [0.912, 0.088, 0.750]],
  "space_group": "C2/c, No. 15",
  "rho_g_cm3": 8.7,
  "m_tot_mub_per_cell": 0.00
}

Most favorable structure: run one. The second most favorable one is 41 meV/atom above it.

Run one
{
  "formula": "DyY2Tl2",
  "functional": "PBE",
  "state": "optimized geometry",
  "cell": [[3.711, 0.000, 0.000], [0.000, 5.791, 0.019], [0.000, -1.393, 13.981]],
  "species": ["Dy", "Dy", "Y", "Y", "Y", "Y", "Tl", "Tl", "Tl", "Tl"],
  "frac_coords": [[0.250, 0.699, 0.250], [0.750, 0.301, 0.750], [0.250, 0.811, 0.882], [0.750, 0.189, 0.118], [0.250, 0.258, 0.535], [0.750, 0.742, 0.465], [0.250, 0.787, 0.660], [0.750, 0.213, 0.340], [0.250, 0.312, 0.943], [0.750, 0.688, 0.057]],
  "space_group": "P2_1/m, No. 11",
  "rho_g_cm3": 8.3,
  "m_tot_mub_per_cell": 1.34
}

Run two
{
  "formula": "DyY2Tl2",
  "functional": "PBE",
  "state": "optimized geometry",
  "cell": [[3.751, 0.000, -0.503], [0.000, 5.381, 0.000], [-0.020, 0.000, 14.116]],
  "species": ["Dy", "Dy", "Y", "Y", "Y", "Y", "Tl", "Tl", "Tl", "Tl"],
  "frac_coords": [[0.852, 0.750, 0.702], [0.148, 0.250, 0.298], [0.050, 0.750, 0.099], [0.950, 0.250, 0.901], [0.238, 0.750, 0.475], [0.762, 0.250, 0.525], [0.645, 0.750, 0.291], [0.355, 0.250, 0.709], [0.451, 0.750, 0.902], [0.549, 0.250, 0.098]],
  "space_group": "P2_1/m, No. 11",
  "rho_g_cm3": 8.7,
  "m_tot_mub_per_cell": 0.00
}

Most favorable structure: run two. The second most favorable one is 155 meV/atom above it.

Run one
{
  "formula": "Dy4TlZn2",
  "functional": "PBE",
  "state": "optimized geometry",
  "cell": [[4.853, 0.000, 1.516], [2.190, 4.331, 1.516], [-0.052, -0.032, 8.693]],
  "species": ["Dy", "Dy", "Dy", "Dy", "Tl", "Zn", "Zn"],
  "frac_coords": [[0.868, 0.868, 0.397], [0.132, 0.132, 0.603], [0.614, 0.614, 0.159], [0.386, 0.386, 0.841], [0.000, 0.000, 0.000], [0.747, 0.747, 0.758], [0.253, 0.253, 0.242]],
  "space_group": "R-3m, No. 166",
  "rho_g_cm3": 8.9,
  "m_tot_mub_per_cell": 0.00
}

Run two
{
  "formula": "Dy4TlZn2",
  "functional": "PBE",
  "state": "optimized geometry",
  "cell": [[4.940, 0.000, 0.000], [2.470, 4.278, 0.000], [2.470, 1.426, 9.297]],
  "species": ["Dy", "Dy", "Dy", "Dy", "Tl", "Zn", "Zn"],
  "frac_coords": [[0.383, 0.383, 0.851], [0.201, 0.201, 0.396], [0.799, 0.799, 0.604], [0.617, 0.617, 0.149], [0.000, 0.000, 0.000], [0.098, 0.098, 0.705], [0.902, 0.902, 0.295]],
  "space_group": "R-3m, No. 166",
  "rho_g_cm3": 8.3,
  "m_tot_mub_per_cell": 0.00
}

Most favorable structure: run one. The second most favorable one is 121 meV/atom above it.

Run one
{
  "formula": "Dy2TlZn3",
  "functional": "PBE",
  "state": "optimized geometry",
  "cell": [[-2.672, -0.291, -2.522], [-2.757, -1.877, 3.137], [0.029, 8.375, 1.694]],
  "species": ["Dy", "Dy", "Tl", "Zn", "Zn", "Zn"],
  "frac_coords": [[0.140, 0.140, 0.280], [0.858, 0.358, 0.716], [0.462, 0.962, 0.923], [0.699, 0.699, 0.398], [0.547, 0.547, 0.094], [0.295, 0.795, 0.590]],
  "space_group": "Imm2, No. 44",
  "rho_g_cm3": 8.9,
  "m_tot_mub_per_cell": 0.00
}

Run two
{
  "formula": "Dy2TlZn3",
  "functional": "PBE",
  "state": "optimized geometry",
  "cell": [[-3.936, 4.295, -0.042], [-2.961, -4.622, 1.950], [5.427, 2.049, 6.521]],
  "species": ["Dy", "Dy", "Dy", "Dy", "Tl", "Tl", "Zn", "Zn", "Zn", "Zn", "Zn", "Zn"],
  "frac_coords": [[0.250, 0.750, 0.500], [0.756, 0.756, 0.000], [0.750, 0.250, 0.500], [0.244, 0.244, 0.000], [0.665, 0.665, 0.331], [0.335, 0.335, 0.669], [0.321, 0.838, 0.160], [0.162, 0.679, 0.840], [0.679, 0.162, 0.840], [0.838, 0.321, 0.160], [0.161, 0.161, 0.322], [0.839, 0.839, 0.678]],
  "space_group": "Fmmm, No. 69",
  "rho_g_cm3": 9.2,
  "m_tot_mub_per_cell": 0.00
}

Most favorable structure: run two. The second most favorable one is 89 meV/atom above it.

Run one
{
  "formula": "DyTlZn2",
  "functional": "PBE",
  "state": "optimized geometry",
  "cell": [[-4.003, 2.779, -0.848], [-2.306, -0.253, -4.368], [-4.458, -2.118, -0.324]],
  "species": ["Tl", "Zn", "Zn", "Dy"],
  "frac_coords": [[0.500, 0.500, 0.500], [0.250, 0.250, 0.250], [0.750, 0.750, 0.750], [0.000, 0.000, 0.000]],
  "space_group": "Fm-3m, No. 225",
  "rho_g_cm3": 9.7,
  "m_tot_mub_per_cell": 0.00
}

Run two
{
  "formula": "DyTlZn2",
  "functional": "PBE",
  "state": "optimized geometry",
  "cell": [[4.156, 0.000, 0.000], [0.000, 4.559, 0.000], [0.000, 0.000, 4.559]],
  "species": ["Tl", "Zn", "Zn", "Dy"],
  "frac_coords": [[0.500, 0.000, 0.000], [0.000, 0.000, 0.500], [0.000, 0.500, 0.000], [0.500, 0.500, 0.500]],
  "space_group": "P4/mmm, No. 123",
  "rho_g_cm3": 9.6,
  "m_tot_mub_per_cell": 0.00
}

Most favorable structure: run two. The second most favorable one is 58 meV/atom above it.

Run one
{
  "formula": "DyZrTl",
  "functional": "PBE",
  "state": "optimized geometry",
  "cell": [[-1.137, -3.233, 0.606], [2.108, -1.208, -2.492], [4.200, 1.391, 5.308]],
  "species": ["Tl", "Zr", "Dy"],
  "frac_coords": [[0.623, 0.623, 0.245], [0.277, 0.277, 0.554], [0.951, 0.951, 0.901]],
  "space_group": "I4mm, No. 107",
  "rho_g_cm3": 9.7,
  "m_tot_mub_per_cell": 0.00
}

Run two
{
  "formula": "DyZrTl",
  "functional": "PBE",
  "state": "optimized geometry",
  "cell": [[-1.514, 4.491, 3.273], [-4.319, 2.874, -0.873], [-4.085, -1.614, 5.395]],
  "species": ["Zr", "Zr", "Dy", "Dy", "Tl", "Tl"],
  "frac_coords": [[0.750, 0.500, 0.500], [0.250, 0.500, 0.500], [0.821, 0.358, 0.000], [0.179, 0.642, 0.000], [0.620, 0.000, 0.759], [0.380, 0.000, 0.241]],
  "space_group": "Fmmm, No. 69",
  "rho_g_cm3": 9.5,
  "m_tot_mub_per_cell": 0.00
}

Most favorable structure: run one. The second most favorable one is 239 meV/atom above it.